## Li2GdH4 (PBE-GGA)

Data for crystalline Li2GdH4 at its relaxed geometry.

abc: 4.2192 4.2192 6.3958
angles: 70.74 70.74 90.00
Atoms (fractional coordinates):
H 0.5000 0.0000 0.0000
H 0.0000 0.5000 0.0000
H 0.1896 0.1896 0.6209
H 0.8104 0.8104 0.3791
Li 0.3436 0.3436 0.3128
Li 0.6564 0.6564 0.6872
Gd 0.0000 0.0000 0.0000

## Properties
- crystal system = tetragonal
- VASP energy (eV per atom) = -4.631
- space-group type = I4/mmm (139)
- volume (A^3/atom) = 14.39

## LiMg4In7 (PBE-GGA)

Data for crystalline LiMg4In7 at its relaxed geometry.

abc: 3.3658 3.3658 29.3842
angles: 90.00 90.00 120.00
Atoms (fractional coordinates):
Li 0.0000 0.0000 0.5000
In 0.6667 0.3333 0.8329
In 0.0000 0.0000 0.2538
In 0.3333 0.6667 0.1671
In 0.0000 0.0000 0.7462
In 0.6667 0.3333 0.5782
In 0.3333 0.6667 0.4218
In 0.0000 0.0000 0.0000
Mg 0.6667 0.3333 0.0844
Mg 0.6667 0.3333 0.3376
Mg 0.3333 0.6667 0.6624
Mg 0.3333 0.6667 0.9156

## Properties
- crystal system = trigonal
- energy above the most stable polymorph in this dataset (meV per atom) = 0
- space-group type = P-3m1 (164)
- volume (A^3/atom) = 24.02
- E_form (meV per atom) = -74.0

## La2SmEr9 (PBE-GGA)

Data for crystalline La2SmEr9 at its relaxed geometry.

abc: 5.9735 11.6693 11.6693
angles: 120.00 90.00 90.00
Atoms (fractional coordinates):
La 0.0000 0.6667 0.3333
La 0.0000 0.3333 0.6667
Er 0.0000 0.5000 0.5000
Er 0.0000 0.0000 0.5000
Er 0.5000 0.5761 0.1523
Er 0.5000 0.4239 0.5762
Er 0.5000 0.1523 0.5762
Er 0.5000 0.8477 0.4238
Er 0.5000 0.4239 0.8477
Er 0.0000 0.5000 0.0000
Er 0.5000 0.5761 0.4238
Sm 0.0000 0.0000 0.0000

## Properties
- crystal system = hexagonal
- energy above the most stable polymorph in this dataset (meV per atom) = 1370
- space-group type = P6/mmm (191)
- volume (A^3/atom) = 58.70
- E_form (meV per atom) = 1403.6

## Sm8PdRu2 (PBE-GGA)

Data for crystalline Sm8PdRu2 at its relaxed geometry.

abc: 5.9792 7.7254 7.7254
angles: 113.63 99.94 99.94
Atoms (fractional coordinates):
Sm 0.0924 0.3367 0.0776
Sm 0.9076 0.9224 0.6633
Sm 0.3080 0.6300 0.6300
Sm 0.5000 0.2231 0.7769
Sm 0.5000 0.7769 0.2231
Sm 0.0924 0.0776 0.3367
Sm 0.9076 0.6633 0.9224
Sm 0.6920 0.3700 0.3700
Ru 0.0000 0.6950 0.3050
Ru 0.0000 0.3050 0.6950
Pd 0.5000 0.0000 0.0000

## Properties
- crystal system = monoclinic
- space-group type = C2/m (12)
- volume (A^3/atom) = 28.20
- E_form (meV per atom) = -204.8

## Ac5SmHg4 (PBE-GGA)

Data for crystalline Ac5SmHg4 at its relaxed geometry.

abc: 4.0162 4.0162 21.4429
angles: 90.00 90.00 90.00
Atoms (fractional coordinates):
Ac 0.5000 0.5000 0.8809
Ac 0.5000 0.5000 0.3095
Ac 0.5000 0.5000 0.5000
Ac 0.5000 0.5000 0.6905
Ac 0.5000 0.5000 0.1191
Hg 0.0000 0.0000 0.5946
Hg 0.0000 0.0000 0.7883
Hg 0.0000 0.0000 0.2117
Hg 0.0000 0.0000 0.4054
Sm 0.0000 0.0000 0.0000

## Properties
- crystal system = tetragonal
- space-group type = P4/mmm (123)
- volume (A^3/atom) = 34.59
- E_form (meV per atom) = -365.3

## GaCu2Pd2 (PBE-GGA)

Data for crystalline GaCu2Pd2 at its relaxed geometry.

abc: 6.2528 6.2528 3.7201
angles: 90.00 90.00 90.00
Atoms (fractional coordinates):
Cu 0.1337 0.3663 0.0000
Cu 0.3663 0.8663 0.0000
Cu 0.6337 0.1337 0.0000
Cu 0.8663 0.6337 0.0000
Pd 0.8336 0.3336 0.5000
Pd 0.6664 0.8336 0.5000
Pd 0.3336 0.1664 0.5000
Pd 0.1664 0.6664 0.5000
Ga 0.5000 0.5000 0.0000
Ga 0.0000 0.0000 0.0000

## Properties
- crystal system = tetragonal
- energy above the most stable polymorph in this dataset (meV per atom) = 77
- space-group type = P4/mbm (127)
- volume (A^3/atom) = 14.54
- E_form (meV per atom) = -153.5

## NdLuMnZn (PBE-GGA)

Data for crystalline NdLuMnZn at its relaxed geometry.

abc: 5.0512 5.0512 5.0512
angles: 60.00 60.00 60.00
Atoms (fractional coordinates):
Mn 0.5000 0.5000 0.5000
Nd 0.2500 0.2500 0.2500
Lu 0.7500 0.7500 0.7500
Zn 0.0000 0.0000 0.0000

## Properties
- crystal system = cubic
- space-group type = F-43m (216)
- volume (A^3/atom) = 22.78
- E_form (meV per atom) = -15.2

## CuPAu (PBE-GGA)

Data for crystalline CuPAu at its relaxed geometry.

abc: 3.7003 3.7021 8.8567
angles: 90.00 89.98 59.97
Atoms (fractional coordinates):
P 0.7454 0.2139 0.5990
P 0.7448 0.2145 0.8393
Cu 0.4117 0.8810 0.9314
Cu 0.4125 0.8803 0.5059
Au 0.7451 0.2146 0.3110
Au 0.0782 0.5481 0.1130

## Properties
- crystal system = trigonal
- energy above the most stable polymorph in this dataset (meV per atom) = 4
- space-group type = P3m1 (156)
- volume (A^3/atom) = 17.51
- E_form (meV per atom) = 123.3

## Pm7Tm4Th (PBE-GGA)

Data for crystalline Pm7Tm4Th at its relaxed geometry.

abc: 7.2364 6.2699 11.5019
angles: 79.41 50.89 90.03
Atoms (fractional coordinates):
Pm 0.2504 0.5005 0.9979
Pm 0.3305 0.7800 0.6696
Pm 0.7496 0.4995 0.0021
Pm 0.9162 0.7223 0.3331
Pm 0.5000 0.0000 0.0000
Pm 0.0838 0.2777 0.6669
Pm 0.6695 0.2200 0.3304
Tm 0.4163 0.7255 0.3314
Tm 0.5837 0.2745 0.6686
Tm 0.1622 0.2190 0.3379
Tm 0.8378 0.7810 0.6621
Th 0.0000 0.0000 0.0000

## Properties
- crystal system = triclinic
- energy above the most stable polymorph in this dataset (meV per atom) = 0
- space-group type = P-1 (2)
- volume (A^3/atom) = 32.78
- E_form (meV per atom) = 12.0